1.
Computed, not measured: a geometry-optimized GdNb2V structure at the GGA-PBE level of DFT.

Values from the calculation:
- SG: R-3m
- Raw total energy: -41.24 eV/f.u.
- Total moment: 7.13 Bohr magnetons per cell

```
GdNb2V
1.0
-1.384 -0.355 2.732
1.686 -0.118 2.579
-0.609 9.610 2.681
Nb Gd V
2 1 1
Cartesian
-0.395 6.670 2.407
0.089 2.467 5.585
0.000 0.000 0.000
-0.153 4.569 3.996
```

---

2.
Computed, not measured: a geometry-optimized GdNbW4 structure at the GGA-PBE level of DFT.

Values from the calculation:
- SG: F-43m
- Raw total energy: -75.08 eV/f.u.
- Total moment: 7.02 Bohr magnetons per cell

```
GdNbW4
1.0
5.437 0.000 0.000
2.719 4.709 0.000
2.719 1.570 4.439
Nb Gd W
1 1 4
Cartesian
0.000 0.000 0.000
2.719 1.570 1.110
5.437 3.139 0.555
5.437 1.570 2.775
6.796 3.924 2.775
4.078 3.924 2.775
```

---

3.
Computed, not measured: a geometry-optimized Gd2YNb structure at the GGA-PBE level of DFT.

Values from the calculation:
- SG: R-3m
- Raw total energy: -42.50 eV/f.u.
- Total moment: 14.30 Bohr magnetons per cell

```
Gd2YNb
1.0
3.326 0.000 0.000
1.663 2.880 0.000
1.663 0.960 11.634
Y Nb Gd
1 1 2
Cartesian
3.326 1.920 5.817
0.000 0.000 0.000
1.663 0.960 8.766
4.989 2.880 2.868
```

---

4.
Computed, not measured: a geometry-optimized Gd2NbZn structure at the GGA-PBE level of DFT.

Values from the calculation:
- SG: R-3m
- Raw total energy: -37.78 eV/f.u.
- Total moment: 14.45 Bohr magnetons per cell

```
Gd2NbZn
1.0
-1.789 -0.009 2.733
1.226 -1.265 2.751
3.968 9.592 4.583
Nb Gd Zn
1 2 1
Cartesian
1.702 4.159 5.033
2.817 6.819 3.820
0.587 1.499 6.246
0.000 0.000 0.000
```

---

5.
Computed, not measured: a geometry-optimized GdNbZn4 structure at the GGA-PBE level of DFT.

Values from the calculation:
- SG: F-43m
- Raw total energy: -30.03 eV/f.u.
- Total moment: 4.82 Bohr magnetons per cell

```
GdNbZn4
1.0
-5.042 -0.862 1.357
-1.604 -4.885 1.257
-1.228 -1.175 5.013
Nb Gd Zn
1 1 4
Cartesian
0.000 0.000 0.000
-1.969 -1.730 1.907
-4.311 -3.741 2.247
-4.121 -1.870 4.141
-4.930 -4.333 4.775
-2.387 -3.899 4.090
```

---

6.
Computed, not measured: a geometry-optimized GdZrNb4 structure at the GGA-PBE level of DFT.

Values from the calculation:
- SG: F-43m
- Raw total energy: -62.05 eV/f.u.
- Total moment: 8.18 Bohr magnetons per cell

```
GdZrNb4
1.0
5.654 0.000 0.000
2.827 4.897 0.000
2.827 1.632 4.617
Nb Gd Zr
4 1 1
Cartesian
5.654 3.265 0.576
5.654 1.631 2.886
7.069 4.081 2.886
4.240 4.081 2.886
0.000 0.000 0.000
2.827 1.632 1.154
```

---

7.
Computed, not measured: a geometry-optimized NdGd3 structure at the GGA-PBE level of DFT.

Values from the calculation:
- SG: I4/mmm
- Excess energy over the best structure of this formula in the dataset: 0.000 eV/atom
- Total moment: 21.95 Bohr magnetons per cell

```
NdGd3
1.0
-3.704 -3.506 0.133
1.108 -1.352 -4.792
4.621 -1.016 4.070
Gd Nd
3 1
Cartesian
0.548 -4.377 -2.259
-1.668 -1.978 -0.732
1.846 -1.947 0.071
0.739 -0.901 -3.195
```

---

8.
Computed, not measured: a geometry-optimized NdGd3 structure at the GGA-PBE level of DFT.

Values from the calculation:
- SG: Pm-3m
- Excess energy over the best structure of this formula in the dataset: 0.000 eV/atom
- Total moment: 21.97 Bohr magnetons per cell

```
NdGd3
1.0
5.094 0.000 0.000
0.000 5.094 0.000
0.000 0.000 5.094
Gd Nd
3 1
Cartesian
0.000 2.547 2.547
2.547 0.000 2.547
2.547 2.547 0.000
0.000 0.000 0.000
```